{
  "formula": "Ho3Cd4Cu2",
  "functional": "PBE",
  "state": "optimized geometry",
  "formation_enthalpy_0k_ev_per_atom": -0.24,
  "crystal_system": "monoclinic",
  "n_ef_per_ev_atom": 0.694,
  "lattice": [[5.5033, -2.3598, 0.0000], [5.5033, 2.3598, 0.0000], [-4.2449, 0.0000, 7.7128]],
  "species": ["Ho", "Ho", "Ho", "Cd", "Cd", "Cd", "Cd", "Cu", "Cu"],
  "frac_coords": [[0.0000, 0.0000, 0.0000], [0.3197, 0.3197, 0.3581], [0.6803, 0.6803, 0.6419], [0.0319, 0.0319, 0.3634], [0.2872, 0.2872, 0.9433], [0.7128, 0.7128, 0.0567], [0.9681, 0.9681, 0.6366], [0.4088, 0.4088, 0.7394], [0.5912, 0.5912, 0.2606]]
}